Density functional theory data (PBE) for a geometry-optimized NaHfTlTe2 structure.

CIF file:
```
data_NaHfTlTe2
_chemical_formula_sum 'Na1 Hf1 Tl1 Te2'
_symmetry_space_group_name_H-M 'P 4/m m m'
_symmetry_Int_Tables_number 123
_symmetry_space_group_name_Hall '-P 4 2'
_cell_length_a 5.508
_cell_length_b 5.508
_cell_length_c 5.402
_cell_angle_alpha 90.00
_cell_angle_beta 90.00
_cell_angle_gamma 90.00
loop_
_atom_site_label
_atom_site_type_symbol
_atom_site_fract_x
_atom_site_fract_y
_atom_site_fract_z
_atom_site_occupancy
Na1 Na 0.000 0.000 0.000 1
Hf1 Hf 0.000 0.000 0.500 1
Tl1 Tl 0.500 0.500 0.500 1
Te1 Te 0.000 0.500 0.000 1
```

formation energy from raw total energies: 0.7922 eV per atom
total moment: 1.0 μB per cell